No. 1
VASP calculation (PBE-GGA) on a geometry-optimized La2Hf2Sn structure.

Its total energy is -6.8178 eV/atom. The crystal system is tetragonal. The value obtained for the calculated formation energy is -0.065 eV per atom. The calculation puts the energy above the lowest structure with this stoichiometry at 0 meV/atom. For the magnetic moment, the calculation gives 0.0 μB/cell.

Lattice parameters (Å, degrees): 7.675 7.675 4.817 90.00 90.00 90.00
Space group P4/mbm (No. 127)
Inequivalent atoms, fractional coordinates:
La  0.170  0.330  0.000 (multiplicity 4)
Hf  0.136  0.636  0.500 (multiplicity 4)
Sn  0.000  0.000  0.500 (multiplicity 2)

No. 2
VASP calculation (PBE-GGA) on a geometry-optimized LaHfSn2 structure.

Its total energy is -5.7336 eV/atom. The crystal system is trigonal. The value obtained for the calculated formation energy is -0.012 eV per atom. The calculation puts the energy above the lowest structure with this stoichiometry at 416 meV/atom. For the magnetic moment, the calculation gives 0.0 μB/cell.

Lattice parameters (Å, degrees): 3.3213 3.3213 34.7567 90.00 90.00 120.00
Space group R-3m (No. 166, hexagonal axes)
Inequivalent atoms, fractional coordinates:
La  0.0000  0.0000  0.0000 (multiplicity 3)
Hf  0.0000  0.0000  0.5000 (multiplicity 3)
Sn  0.0000  0.0000  0.0953 (multiplicity 6)

No. 3
VASP calculation (PBE-GGA) on a geometry-optimized LaHfSn structure.

Its total energy is -6.7829 eV/atom. The crystal system is tetragonal. The value obtained for the calculated formation energy is -0.488 eV per atom. For the magnetic moment, the calculation gives 0.8 μB/cell.

Lattice parameters (Å, degrees): 4.471 4.471 8.588 90.00 90.00 90.00
Space group P4/nmm (No. 129, origin choice 2)
Inequivalent atoms, fractional coordinates:
La  0.250  0.250  0.155 (multiplicity 2)
Hf  0.250  0.750  0.500 (multiplicity 2)
Sn  0.250  0.250  0.742 (multiplicity 2)

No. 4
VASP calculation (PBE-GGA) on a geometry-optimized LaHfSn3 structure.

Its total energy is -5.4687 eV/atom. The crystal system is cubic. The value obtained for the calculated formation energy is -0.091 eV per atom. For the magnetic moment, the calculation gives 0.0 μB/cell.

Lattice parameters (Å, degrees): 5.450 5.450 5.450 90.00 90.00 90.00
Space group Pm-3m (No. 221)
Inequivalent atoms, fractional coordinates:
La  0.000  0.000  0.000 (multiplicity 1)
Hf  0.500  0.500  0.500 (multiplicity 1)
Sn  0.000  0.500  0.500 (multiplicity 3)

No. 5
VASP calculation (PBE-GGA) on a geometry-optimized LaHfSn2 structure.

Its total energy is -5.6420 eV/atom. The crystal system is tetragonal. The value obtained for the calculated formation energy is 0.080 eV per atom. The calculation puts the energy above the lowest structure with this stoichiometry at 507 meV/atom. For the magnetic moment, the calculation gives 0.0 μB/cell.

Lattice parameters (Å, degrees): 4.823 4.823 20.977 90.00 90.00 90.00
Space group I-42d (No. 122)
Inequivalent atoms, fractional coordinates:
La  0.000  0.000  0.000 (multiplicity 4)
Hf  0.000  0.000  0.500 (multiplicity 4)
Sn  0.177  0.250  0.625 (multiplicity 8)

No. 6
VASP calculation (PBE-GGA) on a geometry-optimized LaHfSn2 structure.

Its total energy is -5.9944 eV/atom. The crystal system is cubic. The value obtained for the calculated formation energy is -0.273 eV per atom. The calculation puts the energy above the lowest structure with this stoichiometry at 155 meV/atom. For the magnetic moment, the calculation gives 5.9 μB/cell.

Lattice parameters (Å, degrees): 7.495 7.495 7.495 90.00 90.00 90.00
Space group Fm-3m (No. 225)
Inequivalent atoms, fractional coordinates:
La  0.000  0.000  0.000 (multiplicity 4)
Hf  0.000  0.000  0.500 (multiplicity 4)
Sn  0.250  0.250  0.250 (multiplicity 8)

No. 7
VASP calculation (PBE-GGA) on a geometry-optimized LaHfSn3 structure.

Its total energy is -4.2320 eV/atom. The crystal system is cubic. The value obtained for the calculated formation energy is 1.146 eV per atom. For the magnetic moment, the calculation gives 0.0 μB/cell.

Lattice parameters (Å, degrees): 5.785 5.785 5.785 90.00 90.00 90.00
Space group Pm-3m (No. 221)
Inequivalent atoms, fractional coordinates:
La  0.000  0.000  0.000 (multiplicity 1)
Hf  0.500  0.500  0.500 (multiplicity 1)
Sn  0.000  0.000  0.500 (multiplicity 3)

No. 8
VASP calculation (PBE-GGA) on a geometry-optimized La2Hf2Sn structure.

Its total energy is -6.5519 eV/atom. The crystal system is tetragonal. The value obtained for the calculated formation energy is 0.201 eV per atom. The calculation puts the energy above the lowest structure with this stoichiometry at 266 meV/atom. For the magnetic moment, the calculation gives 0.0 μB/cell.

Lattice parameters (Å, degrees): 4.158 4.158 17.656 90.00 90.00 90.00
Space group I4/mmm (No. 139)
Inequivalent atoms, fractional coordinates:
La  0.000  0.000  0.094 (multiplicity 4)
Hf  0.000  0.500  0.250 (multiplicity 4)
Sn  0.000  0.000  0.500 (multiplicity 2)

No. 9
VASP calculation (PBE-GGA) on a geometry-optimized SrLaHfSn2 structure.

Its total energy is -3.7151 eV/atom. The crystal system is tetragonal. The value obtained for the calculated formation energy is 1.199 eV per atom. For the magnetic moment, the calculation gives 0.0 μB/cell.

Lattice parameters (Å, degrees): 5.840 5.840 5.942 90.00 90.00 90.00
Space group P4/mmm (No. 123)
Inequivalent atoms, fractional coordinates:
Sr  0.000  0.000  0.000 (multiplicity 1)
La  0.000  0.000  0.500 (multiplicity 1)
Hf  0.500  0.500  0.000 (multiplicity 1)
Sn  0.000  0.500  0.500 (multiplicity 2)

No. 10
VASP calculation (PBE-GGA) on a geometry-optimized LaHf2TaSn structure.

Its total energy is -7.1234 eV/atom. The crystal system is tetragonal. The value obtained for the calculated formation energy is 1.015 eV per atom. For the magnetic moment, the calculation gives 0.0 μB/cell.

Lattice parameters (Å, degrees): 5.332 5.332 5.188 90.00 90.00 90.00
Space group P4/mmm (No. 123)
Inequivalent atoms, fractional coordinates:
La  0.000  0.000  0.000 (multiplicity 1)
Hf  0.000  0.500  0.500 (multiplicity 2)
Ta  0.500  0.500  0.000 (multiplicity 1)
Sn  0.500  0.500  0.500 (multiplicity 1)

No. 11
VASP calculation (PBE-GGA) on a geometry-optimized SrLaHf2 structure.

Its total energy is -5.7600 eV/atom. The crystal system is tetragonal. The value obtained for the calculated formation energy is 0.869 eV per atom. The calculation puts the energy above the lowest structure with this stoichiometry at 162 meV/atom. For the magnetic moment, the calculation gives 0.0 μB/cell.

Lattice parameters (Å, degrees): 4.575 4.575 22.941 90.00 90.00 90.00
Space group I-42d (No. 122)
Inequivalent atoms, fractional coordinates:
Sr  0.000  0.000  0.000 (multiplicity 4)
La  0.000  0.000  0.500 (multiplicity 4)
Hf  0.233  0.250  0.625 (multiplicity 8)

No. 12
VASP calculation (PBE-GGA) on a geometry-optimized Sr3LaHf structure.

Its total energy is -3.0832 eV/atom. The crystal system is cubic. The value obtained for the calculated formation energy is 0.902 eV per atom. The calculation puts the energy above the lowest structure with this stoichiometry at 0 meV/atom. For the magnetic moment, the calculation gives 0.0 μB/cell.

Lattice parameters (Å, degrees): 6.082 6.082 6.082 90.00 90.00 90.00
Space group Pm-3m (No. 221)
Inequivalent atoms, fractional coordinates:
Sr  0.000  0.000  0.500 (multiplicity 3)
La  0.500  0.500  0.500 (multiplicity 1)
Hf  0.000  0.000  0.000 (multiplicity 1)

No. 13
VASP calculation (PBE-GGA) on a geometry-optimized SrLa3Hf structure.

Its total energy is -3.9528 eV/atom. The crystal system is cubic. The value obtained for the calculated formation energy is 1.331 eV per atom. The calculation puts the energy above the lowest structure with this stoichiometry at 928 meV/atom. For the magnetic moment, the calculation gives 0.0 μB/cell.

Lattice parameters (Å, degrees): 5.746 5.746 5.746 90.00 90.00 90.00
Space group Pm-3m (No. 221)
Inequivalent atoms, fractional coordinates:
Sr  0.000  0.000  0.000 (multiplicity 1)
La  0.000  0.000  0.500 (multiplicity 3)
Hf  0.500  0.500  0.500 (multiplicity 1)

No. 14
VASP calculation (PBE-GGA) on a geometry-optimized Sr3LaHf structure.

Its total energy is -2.6314 eV/atom. The crystal system is cubic. The value obtained for the calculated formation energy is 1.354 eV per atom. The calculation puts the energy above the lowest structure with this stoichiometry at 452 meV/atom. For the magnetic moment, the calculation gives 0.0 μB/cell.

Lattice parameters (Å, degrees): 6.013 6.013 6.013 90.00 90.00 90.00
Space group Pm-3m (No. 221)
Inequivalent atoms, fractional coordinates:
Sr  0.000  0.000  0.500 (multiplicity 3)
La  0.000  0.000  0.000 (multiplicity 1)
Hf  0.500  0.500  0.500 (multiplicity 1)

No. 15
VASP calculation (PBE-GGA) on a geometry-optimized SrLa3Hf structure.

Its total energy is -4.8809 eV/atom. The crystal system is cubic. The value obtained for the calculated formation energy is 0.403 eV per atom. The calculation puts the energy above the lowest structure with this stoichiometry at 0 meV/atom. For the magnetic moment, the calculation gives 0.0 μB/cell.

Lattice parameters (Å, degrees): 5.963 5.963 5.963 90.00 90.00 90.00
Space group Pm-3m (No. 221)
Inequivalent atoms, fractional coordinates:
Sr  0.000  0.000  0.000 (multiplicity 1)
La  0.000  0.500  0.500 (multiplicity 3)
Hf  0.500  0.500  0.500 (multiplicity 1)

No. 16
VASP calculation (PBE-GGA) on a geometry-optimized SrLaHf2 structure.

Its total energy is -5.9215 eV/atom. The crystal system is cubic. The value obtained for the calculated formation energy is 0.707 eV per atom. The calculation puts the energy above the lowest structure with this stoichiometry at 0 meV/atom. For the magnetic moment, the calculation gives 0.0 μB/cell.

Lattice parameters (Å, degrees): 7.769 7.769 7.769 90.00 90.00 90.00
Space group Fm-3m (No. 225)
Inequivalent atoms, fractional coordinates:
Sr  0.000  0.000  0.000 (multiplicity 4)
La  0.000  0.000  0.500 (multiplicity 4)
Hf  0.250  0.250  0.250 (multiplicity 8)

No. 17
VASP calculation (PBE-GGA) on a geometry-optimized SrLa2Hf2 structure.

Its total energy is -5.9663 eV/atom. The crystal system is tetragonal. The value obtained for the calculated formation energy is 0.322 eV per atom. The calculation puts the energy above the lowest structure with this stoichiometry at 0 meV/atom. For the magnetic moment, the calculation gives 0.0 μB/cell.

Lattice parameters (Å, degrees): 9.629 9.629 3.491 90.00 90.00 90.00
Space group P4/mbm (No. 127)
Inequivalent atoms, fractional coordinates:
Sr  0.000  0.000  0.000 (multiplicity 2)
La  0.182  0.318  0.500 (multiplicity 4)
Hf  0.109  0.609  0.000 (multiplicity 4)

No. 18
VASP calculation (PBE-GGA) on a geometry-optimized SrLa2Hf2 structure.

Its total energy is -5.9274 eV/atom. The crystal system is tetragonal. The value obtained for the calculated formation energy is 0.361 eV per atom. The calculation puts the energy above the lowest structure with this stoichiometry at 39 meV/atom. For the magnetic moment, the calculation gives 0.0 μB/cell.

Lattice parameters (Å, degrees): 9.625 9.625 3.421 90.00 90.00 90.00
Space group P4/mbm (No. 127)
Inequivalent atoms, fractional coordinates:
Sr  0.000  0.000  0.000 (multiplicity 2)
La  0.179  0.321  0.000 (multiplicity 4)
Hf  0.112  0.612  0.500 (multiplicity 4)

No. 19
VASP calculation (PBE-GGA) on a geometry-optimized LaHfTa2 structure.

Its total energy is -8.6774 eV/atom. The crystal system is tetragonal. The value obtained for the calculated formation energy is 0.969 eV per atom. The calculation puts the energy above the lowest structure with this stoichiometry at 426 meV/atom. For the magnetic moment, the calculation gives 0.0 μB/cell.

Lattice parameters (Å, degrees): 7.977 7.977 5.887 90.00 90.00 90.00
Space group I-42d (No. 122)
Inequivalent atoms, fractional coordinates:
La  0.000  0.000  0.000 (multiplicity 4)
Hf  0.000  0.000  0.500 (multiplicity 4)
Ta  0.238  0.250  0.625 (multiplicity 8)

No. 20
VASP calculation (PBE-GGA) on a geometry-optimized LaHf3Ta structure.

Its total energy is -7.4799 eV/atom. The crystal system is cubic. The value obtained for the calculated formation energy is 1.848 eV per atom. The calculation puts the energy above the lowest structure with this stoichiometry at 1127 meV/atom. For the magnetic moment, the calculation gives 0.0 μB/cell.

Lattice parameters (Å, degrees): 5.041 5.041 5.041 90.00 90.00 90.00
Space group Pm-3m (No. 221)
Inequivalent atoms, fractional coordinates:
La  0.000  0.000  0.000 (multiplicity 1)
Hf  0.000  0.000  0.500 (multiplicity 3)
Ta  0.500  0.500  0.500 (multiplicity 1)